<a>
Below is a relaxed structure of CsFeI2N, with properties calculated at the GGA-PBE level. Values from VASP.

Results
**SG**: P4/mmm, No. 123
**Crystal system**: tetragonal
**Total moment**: 1.39 μB/atom

```
&SYSTEM
  ibrav = 0, nat = 5, ntyp = 4
/
ATOMIC_SPECIES
I 126.90 I.upf
N 14.01 N.upf
Fe 55.84 Fe.upf
Cs 132.91 Cs.upf
ATOMIC_POSITIONS crystal
I 0.0000 0.5000 0.0000
I 0.5000 0.0000 0.0000
N 0.0000 0.0000 0.5000
Fe 0.5000 0.5000 0.5000
Cs 0.0000 0.0000 0.0000
CELL_PARAMETERS angstrom
7.1813 0.0000 0.0000
0.0000 7.1813 0.0000
0.0000 0.0000 5.7410
```

<b>
Below is a relaxed structure of CsFeI2N, with properties calculated at the GGA-PBE level. Values from VASP.

Results
**SG**: P4/mmm, No. 123
**Crystal system**: tetragonal
**Total moment**: 0.47 μB/atom

```
&SYSTEM
  ibrav = 0, nat = 5, ntyp = 4
/
ATOMIC_SPECIES
N 14.01 N.upf
Cs 132.91 Cs.upf
Fe 55.84 Fe.upf
I 126.90 I.upf
ATOMIC_POSITIONS crystal
N 0.0000 0.0000 0.5000
Cs 0.5000 0.5000 0.5000
Fe 0.0000 0.0000 0.0000
I 0.0000 0.5000 0.0000
I 0.5000 0.0000 0.0000
CELL_PARAMETERS angstrom
6.4040 0.0000 0.0000
0.0000 6.4040 0.0000
0.0000 0.0000 3.5953
```

It comes down to <b>, which is 1497 meV/atom more stable than the next structure.

<a>
Below is a relaxed structure of Cs2SrFeI6, with properties calculated at the GGA-PBE level. Values from VASP.

Results
**SG**: Fm-3m, No. 225
**Crystal system**: cubic
**Total moment**: 0.40 μB/atom

```
&SYSTEM
  ibrav = 0, nat = 10, ntyp = 4
/
ATOMIC_SPECIES
I 126.90 I.upf
Fe 55.84 Fe.upf
Sr 87.62 Sr.upf
Cs 132.91 Cs.upf
ATOMIC_POSITIONS crystal
I 0.2662 0.7338 0.0000
I 0.7338 0.2662 0.0000
I 0.7338 0.7338 0.5324
I 0.2662 0.2662 0.4676
I 0.2662 0.2662 0.0000
I 0.7338 0.7338 0.0000
Fe 0.5000 0.5000 0.0000
Sr 0.0000 0.0000 0.0000
Cs 0.2500 0.7500 0.5000
Cs 0.7500 0.2500 0.5000
CELL_PARAMETERS angstrom
8.6176 0.0000 0.0000
0.0000 8.6176 0.0000
4.3088 4.3088 6.0935
```

<b>
Below is a relaxed structure of Cs2SrFeI6, with properties calculated at the GGA-PBE level. Values from VASP.

Results
**SG**: P-3m1, No. 164
**Crystal system**: trigonal
**Total moment**: 0.40 μB/atom

```
&SYSTEM
  ibrav = 0, nat = 10, ntyp = 4
/
ATOMIC_SPECIES
I 126.90 I.upf
Cs 132.91 Cs.upf
Fe 55.84 Fe.upf
Sr 87.62 Sr.upf
ATOMIC_POSITIONS crystal
I 0.7857 0.1625 0.8375
I 0.7857 0.1625 0.3250
I 0.2143 0.3250 0.1625
I 0.2143 0.8375 0.1625
I 0.7857 0.6750 0.8375
I 0.2143 0.8375 0.6750
Cs 0.1992 0.3333 0.6667
Cs 0.8008 0.6667 0.3333
Fe 0.0000 0.0000 0.0000
Sr 0.5000 0.0000 0.0000
CELL_PARAMETERS angstrom
-5.6042 -4.6574 -2.1725
4.7216 -6.7265 2.2402
-5.2135 3.6248 5.6778
```

It comes down to <b>, which is 32 meV/atom more stable than the next structure.

<a>
Below is a relaxed structure of CsMgFe3, with properties calculated at the GGA-PBE level. Values from VASP.

Results
**SG**: Pm-3m, No. 221
**Crystal system**: cubic
**Total moment**: 1.45 μB/atom

```
&SYSTEM
  ibrav = 0, nat = 5, ntyp = 3
/
ATOMIC_SPECIES
Mg 24.30 Mg.upf
Cs 132.91 Cs.upf
Fe 55.84 Fe.upf
ATOMIC_POSITIONS crystal
Mg 0.5000 0.5000 0.5000
Cs 0.0000 0.0000 0.0000
Fe 0.5000 0.0000 0.0000
Fe 0.0000 0.5000 0.0000
Fe 0.0000 0.0000 0.5000
CELL_PARAMETERS angstrom
4.8861 0.0000 0.0000
0.0000 4.8861 0.0000
0.0000 0.0000 4.8861
```

<b>
Below is a relaxed structure of CsMgFe3, with properties calculated at the GGA-PBE level. Values from VASP.

Results
**SG**: Pm-3m, No. 221
**Crystal system**: cubic
**Total moment**: 1.81 μB/atom

```
&SYSTEM
  ibrav = 0, nat = 5, ntyp = 3
/
ATOMIC_SPECIES
Mg 24.30 Mg.upf
Fe 55.84 Fe.upf
Cs 132.91 Cs.upf
ATOMIC_POSITIONS crystal
Mg 0.0000 0.0000 0.0000
Fe 0.5000 0.0000 0.0000
Fe 0.0000 0.5000 0.0000
Fe 0.0000 0.0000 0.5000
Cs 0.5000 0.5000 0.5000
CELL_PARAMETERS angstrom
5.0837 0.0000 0.0000
0.0000 5.0837 0.0000
0.0000 0.0000 5.0837
```

It comes down to <b>, which is 737 meV/atom more stable than the next structure.

<a>
Below is a relaxed structure of Cs2MgFe, with properties calculated at the GGA-PBE level. Values from VASP.

Results
**SG**: Fm-3m, No. 225
**Crystal system**: cubic
**Total moment**: 0.68 μB/atom

```
&SYSTEM
  ibrav = 0, nat = 4, ntyp = 3
/
ATOMIC_SPECIES
Mg 24.30 Mg.upf
Cs 132.91 Cs.upf
Fe 55.84 Fe.upf
ATOMIC_POSITIONS crystal
Mg 0.0000 0.0000 0.0000
Cs 0.7500 0.7500 0.7500
Cs 0.2500 0.2500 0.2500
Fe 0.5000 0.5000 0.5000
CELL_PARAMETERS angstrom
-4.4334 -4.6918 0.9288
0.4204 -5.5896 -3.3333
1.6738 -5.5071 3.0661
```

<b>
Below is a relaxed structure of Cs2MgFe, with properties calculated at the GGA-PBE level. Values from VASP.

Results
**SG**: I-42d, No. 122
**Crystal system**: tetragonal
**Total moment**: 0.64 μB/atom

```
&SYSTEM
  ibrav = 0, nat = 8, ntyp = 3
/
ATOMIC_SPECIES
Mg 24.30 Mg.upf
Cs 132.91 Cs.upf
Fe 55.84 Fe.upf
ATOMIC_POSITIONS crystal
Mg 0.5000 0.5000 0.0000
Mg 0.7500 0.2500 0.5000
Cs 0.1250 0.9523 0.3273
Cs 0.2023 0.8750 0.8273
Cs 0.6250 0.7977 0.6727
Cs 0.0477 0.3750 0.1727
Fe 0.0000 0.0000 0.0000
Fe 0.2500 0.7500 0.5000
CELL_PARAMETERS angstrom
-6.6504 6.6504 2.6628
6.6504 -6.6504 2.6628
6.6504 6.6504 -2.6628
```

It comes down to <b>, which is 118 meV/atom more stable than the next structure.

<a>
Below is a relaxed structure of CsFe3N, with properties calculated at the GGA-PBE level. Values from VASP.

Results
**SG**: Pm-3m, No. 221
**Crystal system**: cubic
**Total moment**: 1.63 μB/atom

```
&SYSTEM
  ibrav = 0, nat = 5, ntyp = 3
/
ATOMIC_SPECIES
Fe 55.84 Fe.upf
N 14.01 N.upf
Cs 132.91 Cs.upf
ATOMIC_POSITIONS crystal
Fe 0.0000 0.0000 0.5000
Fe 0.0000 0.5000 0.0000
Fe 0.5000 0.0000 0.0000
N 0.5000 0.5000 0.5000
Cs 0.0000 0.0000 0.0000
CELL_PARAMETERS angstrom
4.7541 0.0000 0.0000
0.0000 4.7541 0.0000
0.0000 0.0000 4.7541
```

<b>
Below is a relaxed structure of CsFe3N, with properties calculated at the GGA-PBE level. Values from VASP.

Results
**SG**: Pm-3m, No. 221
**Crystal system**: cubic
**Total moment**: 1.60 μB/atom

```
&SYSTEM
  ibrav = 0, nat = 5, ntyp = 3
/
ATOMIC_SPECIES
Cs 132.91 Cs.upf
Fe 55.84 Fe.upf
N 14.01 N.upf
ATOMIC_POSITIONS crystal
Cs 0.5000 0.5000 0.5000
Fe 0.0000 0.0000 0.5000
Fe 0.5000 0.0000 0.0000
Fe 0.0000 0.5000 0.0000
N 0.0000 0.0000 0.0000
CELL_PARAMETERS angstrom
-1.4715 -0.7503 3.8663
-1.8802 -3.4928 -1.3935
3.4606 -2.2168 0.8869
```

It comes down to <b>, which is 2401 meV/atom more stable than the next structure.

<a>
Below is a relaxed structure of CsFeN2, with properties calculated at the GGA-PBE level. Values from VASP.

Results
**SG**: Fm-3m, No. 225
**Crystal system**: cubic
**Total moment**: 0.44 μB/atom

```
&SYSTEM
  ibrav = 0, nat = 4, ntyp = 3
/
ATOMIC_SPECIES
Cs 132.91 Cs.upf
Fe 55.84 Fe.upf
N 14.01 N.upf
ATOMIC_POSITIONS crystal
Cs 0.5000 0.5000 0.5000
Fe 0.0000 0.0000 0.0000
N 0.2500 0.2500 0.2500
N 0.7500 0.7500 0.7500
CELL_PARAMETERS angstrom
0.3297 -4.3308 -0.9565
0.7459 -2.9443 3.2487
-3.2211 -2.8034 1.2431
```

<b>
Below is a relaxed structure of CsFeN2, with properties calculated at the GGA-PBE level. Values from VASP.

Results
**SG**: Fd-3m, No. 227
**Crystal system**: cubic
**Total moment**: 0.00 μB/atom

```
&SYSTEM
  ibrav = 0, nat = 8, ntyp = 3
/
ATOMIC_SPECIES
Fe 55.84 Fe.upf
N 14.01 N.upf
Cs 132.91 Cs.upf
ATOMIC_POSITIONS crystal
Fe 0.2500 0.7500 0.5000
Fe 0.5000 0.5000 0.0000
N 0.3750 0.6250 0.7500
N 0.3750 0.6250 0.2500
N 0.8750 0.6250 0.7500
N 0.3750 0.1250 0.2500
Cs 0.7500 0.2500 0.5000
Cs 0.0000 0.0000 0.0000
CELL_PARAMETERS angstrom
5.7389 0.0000 0.0000
0.0000 5.7389 0.0000
2.8694 2.8694 4.0639
```

It comes down to <b>, which is 2286 meV/atom more stable than the next structure.

<a>
Below is a relaxed structure of CsNa2Fe, with properties calculated at the GGA-PBE level. Values from VASP.

Results
**SG**: Fm-3m, No. 225
**Crystal system**: cubic
**Total moment**: 0.70 μB/atom

```
&SYSTEM
  ibrav = 0, nat = 4, ntyp = 3
/
ATOMIC_SPECIES
Na 22.99 Na.upf
Cs 132.91 Cs.upf
Fe 55.84 Fe.upf
ATOMIC_POSITIONS crystal
Na 0.2500 0.2500 0.2500
Na 0.7500 0.7500 0.7500
Cs 0.5000 0.5000 0.5000
Fe 0.0000 0.0000 0.0000
CELL_PARAMETERS angstrom
0.0000 4.2043 4.2043
4.2043 0.0000 4.2043
4.2043 4.2043 0.0000
```

<b>
Below is a relaxed structure of CsNa2Fe, with properties calculated at the GGA-PBE level. Values from VASP.

Results
**SG**: I-42d, No. 122
**Crystal system**: tetragonal
**Total moment**: 0.77 μB/atom

```
&SYSTEM
  ibrav = 0, nat = 8, ntyp = 3
/
ATOMIC_SPECIES
Na 22.99 Na.upf
Fe 55.84 Fe.upf
Cs 132.91 Cs.upf
ATOMIC_POSITIONS crystal
Na 0.5658 0.1250 0.2500
Na 0.3750 0.4342 0.7500
Na 0.8750 0.8158 0.7500
Na 0.1842 0.6250 0.2500
Fe 0.5000 0.5000 0.0000
Fe 0.2500 0.7500 0.5000
Cs 0.0000 0.0000 0.0000
Cs 0.7500 0.2500 0.5000
CELL_PARAMETERS angstrom
5.1482 0.0000 0.0000
0.0000 5.1482 0.0000
2.5741 2.5741 12.2806
```

It comes down to <a>, which is 39 meV/atom more stable than the next structure.

<a>
Below is a relaxed structure of CsNb2Fe, with properties calculated at the GGA-PBE level. Values from VASP.

Results
**SG**: Fm-3m, No. 225
**Crystal system**: cubic
**Total moment**: 0.27 μB/atom

```
&SYSTEM
  ibrav = 0, nat = 4, ntyp = 3
/
ATOMIC_SPECIES
Fe 55.84 Fe.upf
Nb 92.91 Nb.upf
Cs 132.91 Cs.upf
ATOMIC_POSITIONS crystal
Fe 0.0000 0.0000 0.0000
Nb 0.7500 0.7500 0.7500
Nb 0.2500 0.2500 0.2500
Cs 0.5000 0.5000 0.5000
CELL_PARAMETERS angstrom
0.0000 3.3747 3.3747
3.3747 0.0000 3.3747
3.3747 3.3747 0.0000
```

<b>
Below is a relaxed structure of CsNb2Fe, with properties calculated at the GGA-PBE level. Values from VASP.

Results
**SG**: I-42d, No. 122
**Crystal system**: tetragonal
**Total moment**: 0.35 μB/atom

```
&SYSTEM
  ibrav = 0, nat = 8, ntyp = 3
/
ATOMIC_SPECIES
Nb 92.91 Nb.upf
Fe 55.84 Fe.upf
Cs 132.91 Cs.upf
ATOMIC_POSITIONS crystal
Nb 0.8750 0.6279 0.7500
Nb 0.3750 0.6221 0.7500
Nb 0.3721 0.6250 0.2500
Nb 0.3779 0.1250 0.2500
Fe 0.2500 0.7500 0.5000
Fe 0.5000 0.5000 0.0000
Cs 0.0000 0.0000 0.0000
Cs 0.7500 0.2500 0.5000
CELL_PARAMETERS angstrom
-3.1164 3.9636 -2.7945
-4.6841 -1.5997 2.9549
-2.2831 6.1616 5.3396
```

It comes down to <a>, which is 63 meV/atom more stable than the next structure.

<a>
Below is a relaxed structure of CsNbFeTePd, with properties calculated at the GGA-PBE level. Values from VASP.

Results
**SG**: P3m1, No. 156
**Crystal system**: trigonal
**Total moment**: 0.00 μB/atom

```
&SYSTEM
  ibrav = 0, nat = 5, ntyp = 5
/
ATOMIC_SPECIES
Te 127.60 Te.upf
Pd 106.42 Pd.upf
Fe 55.84 Fe.upf
Nb 92.91 Nb.upf
Cs 132.91 Cs.upf
ATOMIC_POSITIONS crystal
Te 0.6667 0.3333 0.8721
Pd 0.6667 0.3333 0.2234
Fe 0.0000 0.0000 0.0439
Nb 0.3333 0.6667 0.0747
Cs 0.0000 0.0000 0.5209
CELL_PARAMETERS angstrom
4.2173 0.0000 0.0000
-2.1086 3.6523 0.0000
0.0000 0.0000 8.6088
```

<b>
Below is a relaxed structure of CsNbFeTePd, with properties calculated at the GGA-PBE level. Values from VASP.

Results
**SG**: Cm, No. 8
**Crystal system**: monoclinic
**Total moment**: 0.00 μB/atom

```
&SYSTEM
  ibrav = 0, nat = 10, ntyp = 5
/
ATOMIC_SPECIES
Te 127.60 Te.upf
Cs 132.91 Cs.upf
Fe 55.84 Fe.upf
Pd 106.42 Pd.upf
Nb 92.91 Nb.upf
ATOMIC_POSITIONS crystal
Te 0.8739 0.5000 0.0422
Te 0.8739 0.0000 0.5422
Cs 0.5239 0.5000 0.6506
Cs 0.5239 0.0000 0.1506
Fe 0.1542 0.0000 0.4470
Fe 0.1542 0.5000 0.9470
Pd 0.0383 0.0000 0.1098
Pd 0.0383 0.5000 0.6098
Nb 0.1448 0.0000 0.7921
Nb 0.1448 0.5000 0.2921
CELL_PARAMETERS angstrom
8.4321 0.0000 -0.0214
0.0000 4.5818 0.0000
-0.6449 0.0000 7.4299
```

<c>
Below is a relaxed structure of CsNbFeTePd, with properties calculated at the GGA-PBE level. Values from VASP.

Results
**SG**: R3m, No. 160
**Crystal system**: trigonal
**Total moment**: 0.40 μB/atom

```
&SYSTEM
  ibrav = 0, nat = 15, ntyp = 5
/
ATOMIC_SPECIES
Te 127.60 Te.upf
Nb 92.91 Nb.upf
Cs 132.91 Cs.upf
Fe 55.84 Fe.upf
Pd 106.42 Pd.upf
ATOMIC_POSITIONS crystal
Te 0.0000 0.0000 0.5656
Te 0.6667 0.3333 0.8990
Te 0.3333 0.6667 0.2323
Nb 0.0000 0.0000 0.8221
Nb 0.3333 0.6667 0.4888
Nb 0.6667 0.3333 0.1554
Cs 0.6667 0.3333 0.3509
Cs 0.0000 0.0000 0.0176
Cs 0.3333 0.6667 0.6842
Fe 0.3333 0.6667 0.1245
Fe 0.0000 0.0000 0.4579
Fe 0.6667 0.3333 0.7912
Pd 0.6667 0.3333 0.5197
Pd 0.3333 0.6667 0.8530
Pd 0.0000 0.0000 0.1864
CELL_PARAMETERS angstrom
4.4300 0.0000 0.0000
-2.2150 3.8365 0.0000
0.0000 0.0000 25.0376
```

It comes down to <a>, which is 165 meV/atom more stable than the next structure.

<a>
Below is a relaxed structure of CsNbFeTePd, with properties calculated at the GGA-PBE level. Values from VASP.

Results
**SG**: R3m, No. 160
**Crystal system**: trigonal
**Total moment**: 0.00 μB/atom

```
&SYSTEM
  ibrav = 0, nat = 15, ntyp = 5
/
ATOMIC_SPECIES
Nb 92.91 Nb.upf
Fe 55.84 Fe.upf
Cs 132.91 Cs.upf
Te 127.60 Te.upf
Pd 106.42 Pd.upf
ATOMIC_POSITIONS crystal
Nb 0.0000 0.0000 0.2021
Nb 0.6667 0.3333 0.5355
Nb 0.3333 0.6667 0.8688
Fe 0.0000 0.0000 0.8579
Fe 0.3333 0.6667 0.5246
Fe 0.6667 0.3333 0.1912
Cs 0.3333 0.6667 0.6834
Cs 0.6667 0.3333 0.3501
Cs 0.0000 0.0000 0.0167
Te 0.3333 0.6667 0.1344
Te 0.0000 0.0000 0.4677
Te 0.6667 0.3333 0.8011
Pd 0.6667 0.3333 0.9181
Pd 0.0000 0.0000 0.5847
Pd 0.3333 0.6667 0.2514
CELL_PARAMETERS angstrom
4.2164 0.0000 0.0000
-2.1082 3.6515 0.0000
0.0000 0.0000 25.8730
```

<b>
Below is a relaxed structure of CsNbFeTePd, with properties calculated at the GGA-PBE level. Values from VASP.

Results
**SG**: R3m, No. 160
**Crystal system**: trigonal
**Total moment**: 0.00 μB/atom

```
&SYSTEM
  ibrav = 0, nat = 15, ntyp = 5
/
ATOMIC_SPECIES
Te 127.60 Te.upf
Cs 132.91 Cs.upf
Nb 92.91 Nb.upf
Fe 55.84 Fe.upf
Pd 106.42 Pd.upf
ATOMIC_POSITIONS crystal
Te 0.6667 0.3333 0.9939
Te 0.0000 0.0000 0.6605
Te 0.3333 0.6667 0.3272
Cs 0.0000 0.0000 0.8850
Cs 0.6667 0.3333 0.2183
Cs 0.3333 0.6667 0.5516
Nb 0.0000 0.0000 0.0651
Nb 0.3333 0.6667 0.7318
Nb 0.6667 0.3333 0.3984
Fe 0.3333 0.6667 0.0282
Fe 0.0000 0.0000 0.3615
Fe 0.6667 0.3333 0.6948
Pd 0.6667 0.3333 0.7897
Pd 0.3333 0.6667 0.1230
Pd 0.0000 0.0000 0.4564
CELL_PARAMETERS angstrom
4.0477 0.0000 0.0000
-2.0239 3.5054 0.0000
0.0000 0.0000 27.1054
```

<c>
Below is a relaxed structure of CsNbFeTePd, with properties calculated at the GGA-PBE level. Values from VASP.

Results
**SG**: Pm, No. 6
**Crystal system**: monoclinic
**Total moment**: 0.49 μB/atom

```
&SYSTEM
  ibrav = 0, nat = 5, ntyp = 5
/
ATOMIC_SPECIES
Cs 132.91 Cs.upf
Pd 106.42 Pd.upf
Fe 55.84 Fe.upf
Te 127.60 Te.upf
Nb 92.91 Nb.upf
ATOMIC_POSITIONS crystal
Cs 0.2485 0.0000 0.4711
Pd 0.9171 0.5000 0.7935
Fe 0.4314 0.0000 0.8213
Te 0.5979 0.5000 0.1616
Nb 0.0276 0.0000 0.0175
CELL_PARAMETERS angstrom
-0.3981 -3.1065 -1.8100
2.2315 1.2410 -2.6207
7.6755 -2.1394 5.5227
```

<d>
Below is a relaxed structure of CsNbFeTePd, with properties calculated at the GGA-PBE level. Values from VASP.

Results
**SG**: Cm, No. 8
**Crystal system**: monoclinic
**Total moment**: 0.34 μB/atom

```
&SYSTEM
  ibrav = 0, nat = 10, ntyp = 5
/
ATOMIC_SPECIES
Fe 55.84 Fe.upf
Nb 92.91 Nb.upf
Pd 106.42 Pd.upf
Te 127.60 Te.upf
Cs 132.91 Cs.upf
ATOMIC_POSITIONS crystal
Fe 0.1446 0.0000 0.9376
Fe 0.1446 0.5000 0.4376
Nb 0.0325 0.0000 0.2335
Nb 0.0325 0.5000 0.7335
Pd 0.1986 0.0000 0.6222
Pd 0.1986 0.5000 0.1222
Te 0.8463 0.5000 0.3385
Te 0.8463 0.0000 0.8385
Cs 0.5130 0.0000 0.3948
Cs 0.5130 0.5000 0.8948
CELL_PARAMETERS angstrom
-7.1366 2.4015 -5.0647
-2.4917 -0.0766 3.4747
3.0504 6.3524 2.3274
```

It comes down to <d>, which is 43 meV/atom more stable than the next structure.